[1]
First-principles (PBE) data for crystalline ScGa3Pd at its relaxed geometry, as listed in Alexandria.

Output
Its density is 6.55 g cm⁻³. Its density of states at the Fermi level is 6.5 states/eV/cell. As for the electronic total energy: -4.5288 eV per atom. Its energy of formation from the pure elements is -0.408 eV per atom.

Unit cell a=5.342 b=3.019 c=11.341 alpha=90.00 beta=90.00 gamma=90.00
Space group Pmma (No. 51)
One atom of each set of equivalent atoms:
Sc 0.250 0.000 0.193 (multiplicity 2)
Ga 0.000 0.500 0.000 (multiplicity 2)
Ga 0.006 0.500 0.389 (multiplicity 4)
Pd 0.250 0.500 0.802 (multiplicity 2)

=====

[2]
First-principles (PBE) data for crystalline HfMnIn3 at its relaxed geometry, as listed in Alexandria.

Output
Its density is 8.13 g cm⁻³. Its density of states at the Fermi level is 5.5 states/eV/cell. As for the electronic total energy: -4.7471 eV per atom. Its energy of formation from the pure elements is 0.721 eV per atom.

Unit cell a=4.905 b=4.905 c=4.905 alpha=90.00 beta=90.00 gamma=90.00
Space group Pm-3m (No. 221)
One atom of each set of equivalent atoms:
Hf 0.000 0.000 0.000 (multiplicity 1)
Mn 0.500 0.500 0.500 (multiplicity 1)
In 0.000 0.500 0.500 (multiplicity 3)

=====

[3]
First-principles (PBE) data for crystalline Y9Er4Pu at its relaxed geometry, as listed in Alexandria.

Output
Its density is 6.30 g cm⁻³. Its density of states at the Fermi level is 52.4 states/eV/cell. As for the electronic total energy: -6.3131 eV per atom. Its energy of formation from the pure elements is 0.170 eV per atom.

Unit cell a=9.7279 b=9.7279 c=11.0162 alpha=90.00 beta=90.00 gamma=120.00
Space group P6_3/mmc (No. 194)
One atom of each set of equivalent atoms:
Y 0.0745 0.5372 0.2500 (multiplicity 6)
Y 0.2093 0.4186 0.5342 (multiplicity 12)
Er 0.0000 0.0000 0.0000 (multiplicity 2)
Er 0.1115 0.2230 0.2500 (multiplicity 6)
Pu 0.3333 0.6667 0.7500 (multiplicity 2)

=====

[4]
First-principles (PBE) data for crystalline MgScAs2 at its relaxed geometry, as listed in Alexandria.

Output
Its density is 4.32 g cm⁻³. Its density of states at the Fermi level is 2.7 states/eV/cell. As for the electronic total energy: -5.0960 eV per atom. Its energy of formation from the pure elements is -0.790 eV per atom.

Unit cell a=3.892 b=3.892 c=5.556 alpha=90.00 beta=90.00 gamma=90.00
Space group P4mm (No. 99)
One atom of each set of equivalent atoms:
Mg 0.000 0.000 0.000 (multiplicity 1)
Sc 0.500 0.500 0.502 (multiplicity 1)
As 0.000 0.000 0.501 (multiplicity 1)
As 0.500 0.500 0.002 (multiplicity 1)

=====

[5]
First-principles (PBE) data for crystalline SiSe2O at its relaxed geometry, as listed in Alexandria.

Output
Its density is 4.31 g cm⁻³. Its density of states at the Fermi level is 5.0 states/eV/cell. As for the electronic total energy: -4.3224 eV per atom. The calculation puts the energy relative to the elements, uncorrected at 15 meV/atom.

Unit cell a=3.6467 b=3.6467 c=20.2868 alpha=90.00 beta=90.00 gamma=120.00
Space group R-3m (No. 166, hexagonal axes)
One atom of each set of equivalent atoms:
Si 0.0000 0.0000 0.0000 (multiplicity 3)
Se 0.0000 0.0000 0.4043 (multiplicity 6)
O 0.0000 0.0000 0.5000 (multiplicity 3)

=====

[6]
First-principles (PBE) data for crystalline CdCo2Ir at its relaxed geometry, as listed in Alexandria.

Output
Its density is 12.43 g cm⁻³. Its density of states at the Fermi level is 9.9 states/eV/cell. As for the electronic total energy: -5.7357 eV per atom. Its energy of formation from the pure elements is 0.261 eV per atom.

Unit cell a=2.853 b=4.444 c=8.902 alpha=90.00 beta=90.00 gamma=90.00
Space group Imm2 (No. 44)
One atom of each set of equivalent atoms:
Cd 0.000 0.000 0.000 (multiplicity 2)
Co 0.000 0.000 0.479 (multiplicity 2)
Co 0.000 0.500 0.765 (multiplicity 2)
Ir 0.000 0.500 0.221 (multiplicity 2)